## P
An optimized crystal structure of CrAs2Os. Source: the Alexandria database, functional PBE-GGA.

Cell lengths 5.5008, 5.5008, 11.4307 Å; angles 90.00, 90.00, 90.00 degrees
Last column: nearest neighbours and their distance in Å.
Space group I-42d (No. 122)
Symmetry-distinct sites (fractional):
Cr (0.0000, 0.0000, 0.0000) [4 per cell]  4 As 2.45
As (0.2380, 0.2500, 0.6250) [8 per cell]  2 Os 2.38, 2 Cr 2.45
Os (0.0000, 0.0000, 0.5000) [4 per cell]  4 As 2.38

Summary:
- Volume: 21.62 Å³ per atom
- Crystal system: tetragonal


## Q
An optimized crystal structure of CrAs2Os. Source: the Alexandria database, functional PBE-GGA.

Cell lengths 6.2887, 6.2887, 6.2887 Å; angles 90.00, 90.00, 90.00 degrees
Last column: nearest neighbours and their distance in Å.
Space group F-43m (No. 216)
Symmetry-distinct sites (fractional):
Cr (0.0000, 0.0000, 0.0000) [4 per cell]  4 As 2.72, 4 Os 2.72
As (0.0000, 0.0000, 0.5000) [4 per cell]  4 As 2.72, 4 Os 2.72
As (0.2500, 0.2500, 0.2500) [4 per cell]  4 Cr 2.72, 4 As 2.72
Os (0.2500, 0.2500, 0.7500) [4 per cell]  4 Cr 2.72, 4 As 2.72

Summary:
- Volume: 15.54 Å³ per atom
- Crystal system: cubic


Calculated relative energies: P 0.0; Q 13.8, given in kJ/mol of atoms


## P
An optimized crystal structure of CrAs2Os. Source: the Alexandria database, functional PBE-GGA.

Cell lengths 4.3153, 4.3153, 3.0536 Å; angles 90.00, 90.00, 90.00 degrees
Last column: nearest neighbours and their distance in Å.
Space group P4/mmm (No. 123)
Symmetry-distinct sites (fractional):
Cr (0.0000, 0.0000, 0.0000) [1 per cell]  8 As 2.64
As (0.0000, 0.5000, 0.5000) [2 per cell]  4 Cr 2.64, 4 Os 2.64
Os (0.5000, 0.5000, 0.0000) [1 per cell]  8 As 2.64

Summary:
- Volume: 14.22 Å³ per atom
- Crystal system: tetragonal


## Q
An optimized crystal structure of CrAs2Os. Source: the Alexandria database, functional PBE-GGA.

Cell lengths 2.9742, 5.0721, 8.6341 Å; angles 90.00, 90.00, 90.00 degrees
Last column: nearest neighbours and their distance in Å.
Space group Immm (No. 71)
Symmetry-distinct sites (fractional):
Cr (0.0000, 0.0000, 0.0000) [2 per cell]  4 As 2.73, 4 Os 2.94, 2 Cr 2.97
As (0.0000, 0.5000, 0.2348) [4 per cell]  2 Os 2.51, 2 Cr 2.73
Os (0.0000, 0.0000, 0.5000) [2 per cell]  4 As 2.51

Summary:
- Volume: 16.28 Å³ per atom
- Crystal system: orthorhombic


## R
An optimized crystal structure of CrAs2Os. Source: the Alexandria database, functional PBE-GGA.

Cell lengths 3.9745, 3.9745, 7.6251 Å; angles 90.00, 90.00, 90.00 degrees
Last column: nearest neighbours and their distance in Å.
Space group I-4m2 (No. 119)
Symmetry-distinct sites (fractional):
Cr (0.0000, 0.0000, 0.0000) [2 per cell]  8 As 2.75-2.81, 4 Os 2.75
As (0.0000, 0.0000, 0.5000) [2 per cell]  4 As 2.75, 4 Os 2.75, 4 Cr 2.81
As (0.0000, 0.5000, 0.2500) [2 per cell]  4 Cr 2.75, 4 As 2.75, 4 Os 2.81
Os (0.0000, 0.5000, 0.7500) [2 per cell]  4 Cr 2.75, 8 As 2.75-2.81

Summary:
- Volume: 15.06 Å³ per atom
- Crystal system: tetragonal


Calculated relative energies: P 0.0; Q 30.2; R 19.6, given in kJ/mol of atoms


## P
An optimized crystal structure of CrAs2Os. Source: the Alexandria database, functional PBE-GGA.

Cell lengths 8.3532, 3.0632, 4.8721 Å; angles 90.00, 106.83, 90.00 degrees
Last column: nearest neighbours and their distance in Å.
Space group Cm (No. 8)
Symmetry-distinct sites (fractional):
Cr (0.0000, 0.0000, 0.0000) [2 per cell]  5 As 2.33-2.53
As (0.0131, 0.5000, 0.5931) [2 per cell]  3 Os 2.52-2.55, 2 Cr 2.53
As (0.2782, 0.0000, 0.9966) [2 per cell]  3 Cr 2.33-2.40, 2 Os 2.52
Os (0.2621, 0.5000, 0.3991) [2 per cell]  5 As 2.52-2.55

Summary:
- Volume: 14.92 Å³ per atom
- Crystal system: monoclinic


## Q
An optimized crystal structure of CrAs2Os. Source: the Alexandria database, functional PBE-GGA.

Cell lengths 3.1729, 4.0877, 5.0501 Å; angles 90.00, 90.08, 90.00 degrees
Last column: nearest neighbours and their distance in Å.
Space group P2/m (No. 10)
Symmetry-distinct sites (fractional):
Cr (0.0000, 0.0000, 0.0000) [1 per cell]  4 As 2.64
As (0.3708, 0.5000, 0.7648) [2 per cell]  2 Os 2.48, 1 As 2.51, 2 Cr 2.64
Os (0.5000, 0.0000, 0.5000) [1 per cell]  4 As 2.48

Summary:
- Volume: 16.38 Å³ per atom
- Crystal system: monoclinic


## R
An optimized crystal structure of CrAs2Os. Source: the Alexandria database, functional PBE-GGA.

Cell lengths 3.0040, 5.1716, 7.9156 Å; angles 90.00, 90.00, 90.00 degrees
Last column: nearest neighbours and their distance in Å.
Space group Cmmm (No. 65)
Symmetry-distinct sites (fractional):
Cr (0.0000, 0.0000, 0.0000) [2 per cell]  4 As 2.44
As (0.0000, 0.5000, 0.2424) [4 per cell]  2 Cr 2.44, 2 Os 2.53
Os (0.0000, 0.0000, 0.5000) [2 per cell]  4 As 2.53

Summary:
- Volume: 15.37 Å³ per atom
- Crystal system: orthorhombic


## S
An optimized crystal structure of CrAs2Os. Source: the Alexandria database, functional PBE-GGA.

Cell lengths 2.9862, 4.4715, 4.3719 Å; angles 90.00, 90.00, 90.00 degrees
Last column: nearest neighbours and their distance in Å.
Space group Pmm2 (No. 25)
Symmetry-distinct sites (fractional):
Cr (0.0000, 0.0000, 0.0000) [1 per cell]  6 As 2.49-2.72
As (0.0000, 0.5000, 0.2517) [1 per cell]  2 Cr 2.49, 4 Os 2.53-2.77
As (0.5000, 0.0000, 0.5190) [1 per cell]  2 Os 2.52, 4 Cr 2.58-2.72
Os (0.5000, 0.5000, 0.7845) [1 per cell]  6 As 2.52-2.77

Summary:
- Volume: 14.59 Å³ per atom
- Crystal system: orthorhombic


Calculated relative energies: P 0.0; Q 27.9; R 41.3; S 1.0, given in kJ/mol of atoms


## P
An optimized crystal structure of CrAs2Os. Source: the Alexandria database, functional PBE-GGA.

Cell lengths 7.7995, 3.0805, 5.2734 Å; angles 90.00, 101.46, 90.00 degrees
Last column: nearest neighbours and their distance in Å.
Space group C2/m (No. 12)
Symmetry-distinct sites (fractional):
Cr (0.0000, 0.0000, 0.0000) [2 per cell]  6 As 2.55-2.67
As (0.2437, 0.0000, 0.7409) [4 per cell]  3 Cr 2.55-2.67, 3 Os 2.57-2.58
Os (0.0000, 0.5000, 0.5000) [2 per cell]  6 As 2.57-2.58

Summary:
- Volume: 15.52 Å³ per atom
- Crystal system: monoclinic


## Q
An optimized crystal structure of CrAs2Os. Source: the Alexandria database, functional PBE-GGA.

Cell lengths 2.9718, 2.9718, 22.8881 Å; angles 90.00, 90.00, 120.00 degrees
Last column: nearest neighbours and their distance in Å.
Space group R-3m (No. 166, hexagonal axes)
Symmetry-distinct sites (fractional):
Cr (0.0000, 0.0000, 0.0000) [3 per cell]  6 As 2.52
As (0.0000, 0.0000, 0.2525) [6 per cell]  3 Cr 2.52, 3 Os 2.61
Os (0.0000, 0.0000, 0.5000) [3 per cell]  6 As 2.61

Summary:
- Volume: 14.59 Å³ per atom
- Crystal system: trigonal


## R
An optimized crystal structure of CrAs2Os. Source: the Alexandria database, functional PBE-GGA.

Cell lengths 2.8635, 2.8635, 8.1318 Å; angles 90.00, 90.00, 90.00 degrees
Last column: nearest neighbours and their distance in Å.
Space group P4mm (No. 99)
Symmetry-distinct sites (fractional):
Cr (0.0000, 0.0000, 0.0000) [1 per cell]  4 As 2.61, 4 Os 2.62, 4 Cr 2.86
As (0.0000, 0.0000, 0.4089) [1 per cell]  4 Os 2.62, 4 As 2.86
As (0.5000, 0.5000, 0.7973) [1 per cell]  4 Cr 2.61, 4 As 2.86
Os (0.5000, 0.5000, 0.2048) [1 per cell]  4 As 2.62, 4 Cr 2.62, 4 Os 2.86

Summary:
- Volume: 16.67 Å³ per atom
- Crystal system: tetragonal


Calculated relative energies: P 16.3; Q 24.1; R 0.0, given in kJ/mol of atoms


## P
An optimized crystal structure of CrAs2Os. Source: the Alexandria database, functional PBE-GGA.

Cell lengths 2.8882, 2.8882, 30.0182 Å; angles 90.00, 90.00, 120.00 degrees
Last column: nearest neighbours and their distance in Å.
Space group R3m (No. 160, hexagonal axes)
Symmetry-distinct sites (fractional):
Cr (0.0000, 0.0000, 0.0000) [3 per cell]  3 As 2.53, 3 Os 2.63
As (0.0000, 0.0000, 0.5344) [3 per cell]  3 Os 2.56
As (0.0000, 0.0000, 0.7301) [3 per cell]  3 Cr 2.53
Os (0.0000, 0.0000, 0.2657) [3 per cell]  3 As 2.56, 3 Cr 2.63

Summary:
- Volume: 18.07 Å³ per atom
- Crystal system: trigonal


## Q
An optimized crystal structure of CrAs2Os. Source: the Alexandria database, functional PBE-GGA.

Cell lengths 6.0725, 6.0725, 6.0725 Å; angles 90.00, 90.00, 90.00 degrees
Last column: nearest neighbours and their distance in Å.
Space group Fm-3m (No. 225)
Symmetry-distinct sites (fractional):
Cr (0.0000, 0.0000, 0.0000) [4 per cell]  8 As 2.63
As (0.2500, 0.2500, 0.2500) [8 per cell]  4 Cr 2.63, 4 Os 2.63
Os (0.0000, 0.0000, 0.5000) [4 per cell]  8 As 2.63

Summary:
- Volume: 14.00 Å³ per atom
- Crystal system: cubic


## R
An optimized crystal structure of CrAs2Os. Source: the Alexandria database, functional PBE-GGA.

Cell lengths 2.8494, 4.8581, 9.9141 Å; angles 90.00, 90.00, 90.00 degrees
Last column: nearest neighbours and their distance in Å.
Space group Cmm2 (No. 35)
Symmetry-distinct sites (fractional):
Cr (0.0000, 0.0000, 0.0000) [2 per cell]  2 As 2.48, 2 Os 2.52
As (0.0000, 0.0000, 0.5718) [2 per cell]  2 Os 2.60, 6 As 2.82-2.85
As (0.0000, 0.5000, 0.2053) [2 per cell]  2 Cr 2.48
Os (0.0000, 0.5000, 0.7907) [2 per cell]  2 Cr 2.52, 2 As 2.60, 4 Os 2.82

Summary:
- Volume: 17.15 Å³ per atom
- Crystal system: orthorhombic


Calculated relative energies: P 0.0; Q 4.2; R 17.6, given in kJ/mol of atoms


## P
An optimized crystal structure of Cr3AsOs. Source: the Alexandria database, functional PBE-GGA.

Cell lengths 4.2579, 4.2579, 4.2579 Å; angles 90.00, 90.00, 90.00 degrees
Last column: nearest neighbours and their distance in Å.
Space group Pm-3m (No. 221)
Symmetry-distinct sites (fractional):
Cr (0.0000, 0.0000, 0.5000) [3 per cell]  2 As 2.13
As (0.0000, 0.0000, 0.0000) [1 per cell]  6 Cr 2.13
Os (0.5000, 0.5000, 0.5000) [1 per cell]  12 Cr 3.01

Summary:
- Volume: 15.44 Å³ per atom
- Crystal system: cubic


## Q
An optimized crystal structure of Cr3AsOs. Source: the Alexandria database, functional PBE-GGA.

Cell lengths 4.6888, 4.6888, 4.6888 Å; angles 90.00, 90.00, 90.00 degrees
Last column: nearest neighbours and their distance in Å.
Space group Pm-3m (No. 221)
Symmetry-distinct sites (fractional):
Cr (0.0000, 0.0000, 0.5000) [3 per cell]  2 Os 2.34
As (0.5000, 0.5000, 0.5000) [1 per cell]  12 Cr 3.32
Os (0.0000, 0.0000, 0.0000) [1 per cell]  6 Cr 2.34

Summary:
- Volume: 20.62 Å³ per atom
- Crystal system: cubic


Calculated relative energies: P 12.3; Q 0.0, given in kJ/mol of atoms